Material: KMgRu2Pt
Method: DFT, PBE
State: relaxed

The structure in CIF format:
```
data_KMgRu2Pt
_chemical_formula_sum 'K1 Mg1 Ru2 Pt1'
_cell_length_a 4.483
_cell_length_b 4.697
_cell_length_c 4.483
_cell_angle_alpha 90.00
_cell_angle_beta 90.00
_cell_angle_gamma 90.00
_symmetry_space_group_name_H-M 'P 1'
_symmetry_Int_Tables_number 1
_symmetry_space_group_name_Hall 'P 1'
loop_
_atom_site_label
_atom_site_type_symbol
_atom_site_fract_x
_atom_site_fract_y
_atom_site_fract_z
Ru1 Ru 0.500 0.000 0.000
K1 K 0.000 0.000 0.000
Ru2 Ru 0.000 0.000 0.500
Mg1 Mg 0.000 0.500 0.000
Pt1 Pt 0.500 0.500 0.500
```

Properties
- total energy (eV per atom) = -3.17
- symmetry = P4/mmm
- magnetization (μB per formula unit) = 1.59
- ρ (Mg/m³) = 8.10
- Fermi-level density of states (states/eV/cell) = 5.5
- formation enthalpy at 0 K (eV per atom) = 2.2875

***

Material: AlHgPt2
Method: DFT, PBE
State: relaxed

The structure in CIF format:
```
data_AlHgPt2
_chemical_formula_sum 'Al1 Hg1 Pt2'
_cell_length_a 6.069
_cell_length_b 6.069
_cell_length_c 4.243
_cell_angle_alpha 81.83
_cell_angle_beta 81.83
_cell_angle_gamma 27.82
_symmetry_space_group_name_H-M 'P 1'
_symmetry_Int_Tables_number 1
_symmetry_space_group_name_Hall 'P 1'
loop_
_atom_site_label
_atom_site_type_symbol
_atom_site_fract_x
_atom_site_fract_y
_atom_site_fract_z
Pt1 Pt 0.018 0.018 0.927
Hg1 Hg 0.791 0.791 0.802
Al1 Al 0.505 0.505 0.427
Pt2 Pt 0.186 0.186 0.345
```

Properties
- total energy (eV per atom) = -4.38
- symmetry = Cm
- magnetization (μB per formula unit) = 0.00
- ρ (Mg/m³) = 14.22
- Fermi-level density of states (states/eV/cell) = 1.2
- formation enthalpy at 0 K (eV per atom) = -0.3534

***

Material: SrLaY4S8
Method: DFT, PBE
State: relaxed

The structure in CIF format:
```
data_SrLaY4S8
_chemical_formula_sum 'Sr1 La1 Y4 S8'
_cell_length_a 8.185
_cell_length_b 8.185
_cell_length_c 8.312
_cell_angle_alpha 60.50
_cell_angle_beta 60.50
_cell_angle_gamma 60.00
_symmetry_space_group_name_H-M 'P 1'
_symmetry_Int_Tables_number 1
_symmetry_space_group_name_Hall 'P 1'
loop_
_atom_site_label
_atom_site_type_symbol
_atom_site_fract_x
_atom_site_fract_y
_atom_site_fract_z
Y1 Y 0.625 0.625 0.124
Y2 Y 0.002 0.495 0.502
S1 S 0.236 0.236 0.292
La1 La 0.001 0.001 0.996
S2 S 0.231 0.750 0.268
S3 S 0.790 0.243 0.724
S4 S 0.750 0.750 0.268
Sr1 Sr 0.374 0.374 0.879
Y3 Y 0.495 0.002 0.502
S5 S 0.750 0.231 0.268
S6 S 0.758 0.758 0.727
Y4 Y 0.002 0.002 0.502
S7 S 0.243 0.790 0.724
S8 S 0.243 0.243 0.724
```

Properties
- total energy (eV per atom) = -6.69
- symmetry = R3m
- uncorrected formation energy (eV per atom) = -2.009
- magnetization (μB per formula unit) = 0.00
- ρ (Mg/m³) = 3.51
- Fermi-level density of states (states/eV/cell) = 4.1

***

Material: PrLuCuRh
Method: DFT, PBE
State: relaxed

The structure in CIF format:
```
data_PrLuCuRh
_chemical_formula_sum 'Pr1 Lu1 Cu1 Rh1'
_cell_length_a 4.939
_cell_length_b 4.939
_cell_length_c 4.939
_cell_angle_alpha 60.00
_cell_angle_beta 60.00
_cell_angle_gamma 60.00
_symmetry_space_group_name_H-M 'P 1'
_symmetry_Int_Tables_number 1
_symmetry_space_group_name_Hall 'P 1'
loop_
_atom_site_label
_atom_site_type_symbol
_atom_site_fract_x
_atom_site_fract_y
_atom_site_fract_z
Cu1 Cu 0.750 0.750 0.750
Pr1 Pr 0.000 0.000 0.000
Lu1 Lu 0.500 0.500 0.500
Rh1 Rh 0.250 0.250 0.250
```

Properties
- total energy (eV per atom) = -5.67
- symmetry = F-43m
- magnetization (μB per formula unit) = 0.00
- ρ (Mg/m³) = 9.40
- Fermi-level density of states (states/eV/cell) = 2.9
- formation enthalpy at 0 K (eV per atom) = -0.4844

***

Material: Pm2PaC4
Method: DFT, PBE
State: relaxed

The structure in CIF format:
```
data_Pm2PaC4
_chemical_formula_sum 'Pm2 Pa1 C4'
_cell_length_a 4.582
_cell_length_b 5.171
_cell_length_c 5.673
_cell_angle_alpha 117.11
_cell_angle_beta 90.00
_cell_angle_gamma 90.00
_symmetry_space_group_name_H-M 'P 1'
_symmetry_Int_Tables_number 1
_symmetry_space_group_name_Hall 'P 1'
loop_
_atom_site_label
_atom_site_type_symbol
_atom_site_fract_x
_atom_site_fract_y
_atom_site_fract_z
Pm1 Pm 0.500 0.178 0.356
C1 C 0.000 0.066 0.132
C2 C 0.000 0.934 0.868
Pm2 Pm 0.500 0.822 0.644
Pa1 Pa 0.000 0.500 0.000
C3 C 0.500 0.427 0.854
C4 C 0.500 0.573 0.146
```

Properties
- total energy (eV per atom) = -7.89
- symmetry = Cmmm
- magnetization (μB per formula unit) = 0.00
- ρ (Mg/m³) = 7.90
- Fermi-level density of states (states/eV/cell) = 4.5
- formation enthalpy at 0 K (eV per atom) = 0.0961

***

Material: Pr7Nd2Dy3
Method: DFT, PBE
State: relaxed

The structure in CIF format:
```
data_Pr7Nd2Dy3
_chemical_formula_sum 'Pr7 Nd2 Dy3'
_cell_length_a 3.605
_cell_length_b 6.559
_cell_length_c 18.388
_cell_angle_alpha 74.99
_cell_angle_beta 90.00
_cell_angle_gamma 90.00
_symmetry_space_group_name_H-M 'P 1'
_symmetry_Int_Tables_number 1
_symmetry_space_group_name_Hall 'P 1'
loop_
_atom_site_label
_atom_site_type_symbol
_atom_site_fract_x
_atom_site_fract_y
_atom_site_fract_z
Pr1 Pr 0.000 0.000 0.000
Pr2 Pr 0.500 0.763 0.495
Dy1 Dy 0.000 0.116 0.341
Pr3 Pr 0.000 0.444 0.835
Dy2 Dy 0.500 0.500 0.000
Nd1 Nd 0.500 0.389 0.670
Pr4 Pr 0.000 0.556 0.165
Pr5 Pr 0.500 0.944 0.829
Pr6 Pr 0.500 0.237 0.505
Nd2 Nd 0.500 0.611 0.330
Pr7 Pr 0.500 0.056 0.171
Dy3 Dy 0.000 0.884 0.659
```

Properties
- total energy (eV per atom) = -4.67
- symmetry = P2/m
- magnetization (μB per formula unit) = 0.00
- ρ (Mg/m³) = 6.97
- Fermi-level density of states (states/eV/cell) = 18.1
- formation enthalpy at 0 K (eV per atom) = 0.0646

***

Material: KYHf
Method: DFT, PBE
State: relaxed

The structure in CIF format:
```
data_KYHf
_chemical_formula_sum 'K2 Y2 Hf2'
_cell_length_a 4.579
_cell_length_b 4.579
_cell_length_c 10.946
_cell_angle_alpha 90.00
_cell_angle_beta 90.00
_cell_angle_gamma 90.00
_symmetry_space_group_name_H-M 'P 1'
_symmetry_Int_Tables_number 1
_symmetry_space_group_name_Hall 'P 1'
loop_
_atom_site_label
_atom_site_type_symbol
_atom_site_fract_x
_atom_site_fract_y
_atom_site_fract_z
Y1 Y 0.000 0.000 0.500
Hf1 Hf 0.500 0.000 0.294
Hf2 Hf 0.000 0.500 0.706
Y2 Y 0.500 0.500 0.500
K1 K 0.500 0.000 0.872
K2 K 0.000 0.500 0.128
```

Properties
- total energy (eV per atom) = -4.81
- symmetry = P4/nmm
- magnetization (μB per formula unit) = 0.33
- ρ (Mg/m³) = 4.43
- Fermi-level density of states (states/eV/cell) = 9.8
- formation enthalpy at 0 K (eV per atom) = 1.0274

***

Material: LaPr3DyY
Method: DFT, PBE
State: relaxed

The structure in CIF format:
```
data_LaPr3DyY
_chemical_formula_sum 'La2 Pr6 Dy2 Y2'
_cell_length_a 5.214
_cell_length_b 8.169
_cell_length_c 10.990
_cell_angle_alpha 116.15
_cell_angle_beta 90.00
_cell_angle_gamma 90.00
_symmetry_space_group_name_H-M 'P 1'
_symmetry_Int_Tables_number 1
_symmetry_space_group_name_Hall 'P 1'
loop_
_atom_site_label
_atom_site_type_symbol
_atom_site_fract_x
_atom_site_fract_y
_atom_site_fract_z
Y1 Y 0.250 0.624 0.125
Dy1 Dy 0.250 0.125 0.625
Pr1 Pr 0.250 0.127 0.958
Dy2 Dy 0.750 0.875 0.375
Pr2 Pr 0.750 0.873 0.042
Y2 Y 0.750 0.376 0.875
Pr3 Pr 0.750 0.378 0.208
Pr4 Pr 0.250 0.622 0.792
Pr5 Pr 0.250 0.629 0.457
Pr6 Pr 0.750 0.371 0.543
La1 La 0.250 0.122 0.293
La2 La 0.750 0.878 0.707
```

Properties
- total energy (eV per atom) = -5.03
- symmetry = P2_1/m
- magnetization (μB per formula unit) = 0.00
- ρ (Mg/m³) = 6.43
- Fermi-level density of states (states/eV/cell) = 20.2
- formation enthalpy at 0 K (eV per atom) = 0.0232

***

Material: LaDy2Sb
Method: DFT, PBE
State: relaxed

The structure in CIF format:
```
data_LaDy2Sb
_chemical_formula_sum 'La1 Dy2 Sb1'
_cell_length_a 5.420
_cell_length_b 5.420
_cell_length_c 5.420
_cell_angle_alpha 60.00
_cell_angle_beta 60.00
_cell_angle_gamma 60.00
_symmetry_space_group_name_H-M 'P 1'
_symmetry_Int_Tables_number 1
_symmetry_space_group_name_Hall 'P 1'
loop_
_atom_site_label
_atom_site_type_symbol
_atom_site_fract_x
_atom_site_fract_y
_atom_site_fract_z
La1 La 0.000 0.000 0.000
Dy1 Dy 0.750 0.750 0.750
Sb1 Sb 0.500 0.500 0.500
Dy2 Dy 0.250 0.250 0.250
```

Properties
- total energy (eV per atom) = -4.84
- symmetry = Fm-3m
- uncorrected formation energy (eV per atom) = -0.273
- magnetization (μB per formula unit) = 0.00
- ρ (Mg/m³) = 8.64
- Fermi-level density of states (states/eV/cell) = 4.4

***

Material: Pr2LuTe
Method: DFT, PBE
State: relaxed

The structure in CIF format:
```
data_Pr2LuTe
_chemical_formula_sum 'Pr2 Lu1 Te1'
_cell_length_a 4.079
_cell_length_b 4.079
_cell_length_c 7.561
_cell_angle_alpha 90.00
_cell_angle_beta 90.00
_cell_angle_gamma 90.00
_symmetry_space_group_name_H-M 'P 1'
_symmetry_Int_Tables_number 1
_symmetry_space_group_name_Hall 'P 1'
loop_
_atom_site_label
_atom_site_type_symbol
_atom_site_fract_x
_atom_site_fract_y
_atom_site_fract_z
Te1 Te 0.500 0.500 0.000
Lu1 Lu 0.500 0.500 0.500
Pr1 Pr 0.000 0.000 0.233
Pr2 Pr 0.000 0.000 0.767
```

Properties
- total energy (eV per atom) = -4.88
- symmetry = P4/mmm
- uncorrected formation energy (eV per atom) = -0.572
- magnetization (μB per formula unit) = 0.00
- ρ (Mg/m³) = 7.71
- Fermi-level density of states (states/eV/cell) = 5.1

***

The highest Fermi-level density of states belongs to which entry? LaPr3DyY

***

What is the ρ in the seventh record? 4.43 Mg/m³

***

ρ of number 6 (Pr7Nd2Dy3)? 6.97 Mg/m³

***

What is the formula in the second record? AlHgPt2